Record 1
A plane-wave DFT calculation with GGA-PBE was carried out for a relaxed TlGaFeRu2 crystal.

Summary:
E_tot in eV/atom: -5.49
Energy relative to the elements in eV/atom: 0.994
Spin magnetization in μB/f.u.: 4.0
DOS at the Fermi energy in states/eV per cell: 5.07

Geometry as extended XYZ:
```
5
Lattice="-1.568 -3.869 -1.885 -1.473 -1.323 3.943 -4.023 2.031 -0.821" Properties=species:S:1:pos:R:3 pbc="T T T"
Ru -2.012 1.015 -0.411
Ru -0.784 -1.935 -0.942
Tl -3.532 -1.581 0.619
Fe -0.736 -0.662 1.971
Ga 0.000 0.000 0.000
```



Record 2
A plane-wave DFT calculation with GGA-PBE was carried out for a relaxed UGaFeRu crystal.

Summary:
E_tot in eV/atom: -8.20
Energy relative to the elements in eV/atom: -0.182
Spin magnetization in μB/f.u.: 1.1
DOS at the Fermi energy in states/eV per cell: 5.38

Geometry as extended XYZ:
```
4
Lattice="-2.357 -3.793 0.474 1.960 -3.971 -0.750 0.859 -2.764 3.434" Properties=species:S:1:pos:R:3 pbc="T T T"
Ru 0.000 0.000 0.000
U 0.116 -2.632 0.790
Fe 0.231 -5.264 1.579
Ga 0.347 -7.896 2.369
```



Record 3
A plane-wave DFT calculation with GGA-PBE was carried out for a relaxed Y2GaFe2Ru5 crystal.

Summary:
E_tot in eV/atom: -7.99
Energy relative to the elements in eV/atom: -0.060
Spin magnetization in μB/f.u.: 5.4
DOS at the Fermi energy in states/eV per cell: 22.42

Geometry as extended XYZ:
```
20
Lattice="-1.638 -2.423 1.762 5.672 1.798 7.746 -6.424 6.643 3.163" Properties=species:S:1:pos:R:3 pbc="T T T"
Y 2.705 2.374 5.780
Y -3.457 6.066 5.129
Y -1.098 2.475 2.383
Y 0.346 5.966 8.526
Ga 0.000 0.000 0.000
Ga -0.376 4.220 5.454
Fe -3.307 4.391 2.963
Fe 2.556 4.050 7.946
Fe -2.056 6.928 7.616
Fe 1.304 1.513 3.292
Ru -0.074 -0.438 2.637
Ru -2.316 6.456 10.033
Ru -5.598 4.205 3.886
Ru 0.346 2.960 7.700
Ru 3.208 1.814 8.784
Ru -2.735 3.058 4.970
Ru -2.138 4.459 7.452
Ru -0.252 1.559 5.218
Ru 2.017 -0.312 4.754
Ru -4.031 2.110 2.462
```



Record 4
A plane-wave DFT calculation with GGA-PBE was carried out for a relaxed GaFeS crystal.

Summary:
E_tot in eV/atom: -5.23
Formation energy from raw total energies in eV/atom: -0.0205
Spin magnetization in μB/f.u.: 2.0
DOS at the Fermi energy in states/eV per cell: 4.72

Geometry as extended XYZ:
```
6
Lattice="3.008 0.000 0.000 0.000 5.403 0.000 0.000 0.000 5.904" Properties=species:S:1:pos:R:3 pbc="T T T"
Ga 1.504 2.702 1.331
Ga 0.000 0.000 4.574
S 1.504 2.702 3.720
S 0.000 0.000 2.184
Fe 0.000 2.702 5.260
Fe 1.504 0.000 0.645
```



Record 5
A plane-wave DFT calculation with GGA-PBE was carried out for a relaxed GaFeS3 crystal.

Summary:
E_tot in eV/atom: -4.11
Formation energy from raw total energies in eV/atom: 0.6649
Spin magnetization in μB/f.u.: 4.0
DOS at the Fermi energy in states/eV per cell: 12.68

Geometry as extended XYZ:
```
5
Lattice="-0.298 -4.386 -1.529 2.082 1.243 -3.972 4.152 -0.939 1.883" Properties=species:S:1:pos:R:3 pbc="T T T"
S 1.041 0.622 -1.986
S 2.076 -0.469 0.941
S -0.149 -2.193 -0.765
Fe 2.968 -2.041 -1.809
Ga 0.000 0.000 0.000
```



Record 6
A plane-wave DFT calculation with GGA-PBE was carried out for a relaxed Ga3FeS crystal.

Summary:
E_tot in eV/atom: -3.53
Formation energy from raw total energies in eV/atom: 0.7997
Relative energy among the computed polymorphs in meV per atom: 547
Spin magnetization in μB/f.u.: 2.8
DOS at the Fermi energy in states/eV per cell: 4.29

Geometry as extended XYZ:
```
5
Lattice="-1.988 -2.033 -3.687 2.819 -3.671 0.504 -3.127 -2.017 2.799" Properties=species:S:1:pos:R:3 pbc="T T T"
S 0.000 0.000 0.000
Fe -1.148 -3.861 -0.192
Ga 1.410 -1.835 0.252
Ga -1.563 -1.009 1.399
Ga -0.994 -1.017 -1.843
```



Record 7
A plane-wave DFT calculation with GGA-PBE was carried out for a relaxed GaFeS3 crystal.

Summary:
E_tot in eV/atom: -4.60
Formation energy from raw total energies in eV/atom: 0.1724
Spin magnetization in μB/f.u.: 4.2
DOS at the Fermi energy in states/eV per cell: 4.14

Geometry as extended XYZ:
```
5
Lattice="4.590 0.000 0.000 0.000 4.590 0.000 0.000 0.000 4.590" Properties=species:S:1:pos:R:3 pbc="T T T"
Ga 2.295 2.295 2.295
Fe 0.000 0.000 0.000
S 0.000 2.295 0.000
S 0.000 0.000 2.295
S 2.295 0.000 0.000
```



Record 8
A plane-wave DFT calculation with GGA-PBE was carried out for a relaxed Ga2FeS4 crystal.

Summary:
E_tot in eV/atom: -4.96
Formation energy from raw total energies in eV/atom: -0.5271
Spin magnetization in μB/f.u.: 4.0
DOS at the Fermi energy in states/eV per cell: 2.62

Geometry as extended XYZ:
```
7
Lattice="-2.079 1.130 2.791 -0.344 -3.414 -1.273 8.995 -4.009 8.323" Properties=species:S:1:pos:R:3 pbc="T T T"
Ga 1.125 -2.811 1.976
Ga 5.448 -3.482 7.866
Fe 4.498 -2.005 4.161
S 3.899 -2.791 6.433
S 2.673 -3.502 3.409
S -0.178 -0.974 2.661
S 6.750 -5.319 7.181
```



Record 9
A plane-wave DFT calculation with GGA-PBE was carried out for a relaxed Ga3FeS crystal.

Summary:
E_tot in eV/atom: -4.08
Formation energy from raw total energies in eV/atom: 0.2528
Relative energy among the computed polymorphs in meV per atom: 0
Spin magnetization in μB/f.u.: 0.1
DOS at the Fermi energy in states/eV per cell: 6.88

Geometry as extended XYZ:
```
5
Lattice="4.611 0.000 0.000 0.000 4.611 0.000 0.000 0.000 4.611" Properties=species:S:1:pos:R:3 pbc="T T T"
S 2.305 2.305 2.305
Fe 0.000 0.000 0.000
Ga 0.000 2.305 0.000
Ga 0.000 0.000 2.305
Ga 2.305 0.000 0.000
```



Record 10
A plane-wave DFT calculation with GGA-PBE was carried out for a relaxed Sm3GaFeS7 crystal.

Summary:
E_tot in eV/atom: -6.02
Formation energy from raw total energies in eV/atom: -1.4761
Spin magnetization in μB/f.u.: 4.0
DOS at the Fermi energy in states/eV per cell: 10.33

Geometry as extended XYZ:
```
24
Lattice="-2.222 5.817 -7.596 -3.748 -9.065 0.505 -4.890 2.195 3.111" Properties=species:S:1:pos:R:3 pbc="T T T"
Sm -3.333 -1.810 0.030
Sm -5.249 -5.667 -0.260
Sm -5.879 -2.708 -3.339
Sm -8.244 1.079 -3.554
Sm -6.328 4.936 -3.264
Sm -5.698 1.976 -0.186
Ga -4.684 1.733 -3.653
Ga -7.638 -2.130 0.603
Fe -0.010 0.005 0.007
Fe -2.456 1.102 1.562
S -3.162 -2.096 -2.838
S -2.596 -4.530 -0.232
S -4.736 -5.340 -3.024
S -5.770 0.177 -2.369
S -6.336 2.611 -4.976
S -4.196 3.421 -2.183
S -2.899 0.932 -4.789
S -5.853 -2.931 -0.533
S -3.455 4.660 -5.786
S -2.184 0.660 -0.966
S -6.037 -1.187 -5.719
S -7.283 -5.768 1.728
S -8.554 -1.768 -3.092
S -4.701 0.079 1.661
```



Record 11
A plane-wave DFT calculation with GGA-PBE was carried out for a relaxed GaFeSb crystal.

Summary:
E_tot in eV/atom: -5.14
Formation energy from raw total energies in eV/atom: 0.0614
Spin magnetization in μB/f.u.: 1.1
DOS at the Fermi energy in states/eV per cell: 3.34

Geometry as extended XYZ:
```
3
Lattice="4.241 0.000 0.000 2.121 3.673 0.000 2.121 1.224 3.463" Properties=species:S:1:pos:R:3 pbc="T T T"
Sb 0.000 0.000 0.000
Fe 2.121 1.224 0.866
Ga 4.241 2.449 1.731
```



Record 12
A plane-wave DFT calculation with GGA-PBE was carried out for a relaxed Ga2Fe2Sb crystal.

Summary:
E_tot in eV/atom: -5.28
Formation energy from raw total energies in eV/atom: 0.1417
Spin magnetization in μB/f.u.: 2.8
DOS at the Fermi energy in states/eV per cell: 5.94

Geometry as extended XYZ:
```
10
Lattice="6.702 0.000 0.000 0.000 6.702 0.000 0.000 0.000 3.376" Properties=species:S:1:pos:R:3 pbc="T T T"
Sb 0.000 0.000 0.000
Sb 3.351 3.351 0.000
Fe 2.343 5.694 0.000
Fe 5.694 4.359 0.000
Fe 4.359 1.008 0.000
Fe 1.008 2.343 0.000
Ga 0.970 4.321 1.688
Ga 4.321 5.731 1.688
Ga 5.731 2.381 1.688
Ga 2.381 0.970 1.688
```



Record 13
A plane-wave DFT calculation with GGA-PBE was carried out for a relaxed GaFeSb crystal.

Summary:
E_tot in eV/atom: -5.14
Formation energy from raw total energies in eV/atom: 0.0596
Spin magnetization in μB/f.u.: 0.0
DOS at the Fermi energy in states/eV per cell: 2.32

Geometry as extended XYZ:
```
12
Lattice="6.133 0.000 0.000 0.000 5.370 0.049 0.000 0.096 7.038" Properties=species:S:1:pos:R:3 pbc="T T T"
Fe 3.082 1.398 4.290
Fe 0.015 4.115 6.315
Fe 3.051 4.067 2.796
Fe 6.117 1.350 0.772
Sb 4.606 4.827 4.555
Sb 4.593 4.779 1.036
Sb 1.527 0.639 2.531
Sb 1.539 0.686 6.050
Ga 1.422 3.290 1.168
Ga 1.645 3.338 4.687
Ga 4.711 2.175 5.918
Ga 4.488 2.127 2.399
```



Record 14
A plane-wave DFT calculation with GGA-PBE was carried out for a relaxed Ga3FeSb crystal.

Summary:
E_tot in eV/atom: -4.13
Formation energy from raw total energies in eV/atom: 0.2073
Relative energy among the computed polymorphs in meV per atom: 0
Spin magnetization in μB/f.u.: 2.0
DOS at the Fermi energy in states/eV per cell: 2.01

Geometry as extended XYZ:
```
5
Lattice="-0.663 -4.624 -0.450 0.830 -0.565 4.584 -4.571 0.568 0.897" Properties=species:S:1:pos:R:3 pbc="T T T"
Sb -2.202 -2.311 2.516
Fe 0.000 0.000 0.000
Ga 0.415 -0.283 2.292
Ga -2.286 0.284 0.449
Ga -0.331 -2.312 -0.225
```



Record 15
A plane-wave DFT calculation with GGA-PBE was carried out for a relaxed GaFe4Sb12 crystal.

Summary:
E_tot in eV/atom: -5.10
Formation energy from raw total energies in eV/atom: -0.0211
Spin magnetization in μB/f.u.: 3.0
DOS at the Fermi energy in states/eV per cell: 12.59

Geometry as extended XYZ:
```
17
Lattice="-3.641 -5.291 4.707 3.857 -3.834 -5.816 5.202 4.234 4.292" Properties=species:S:1:pos:R:3 pbc="T T T"
Ga 0.000 0.000 0.000
Fe 1.928 -1.917 -2.908
Fe -1.820 -2.645 2.354
Fe 2.709 -2.446 1.591
Fe 2.601 2.117 2.146
Sb -0.883 -4.988 2.756
Sb 1.527 -2.966 -0.613
Sb 1.077 -2.171 5.833
Sb 3.819 1.139 4.169
Sb 4.341 -2.720 -2.650
Sb 3.891 -1.925 3.796
Sb 0.553 -1.816 2.811
Sb 4.865 -3.075 0.372
Sb 1.599 -6.030 -0.986
Sb 2.159 -4.854 2.244
Sb 3.259 -0.037 0.939
Sb 6.301 0.097 0.427
```



Record 16
A plane-wave DFT calculation with GGA-PBE was carried out for a relaxed GaFe2SiSb crystal.

Summary:
E_tot in eV/atom: -4.62
Formation energy from raw total energies in eV/atom: 1.2751
Spin magnetization in μB/f.u.: 5.0
DOS at the Fermi energy in states/eV per cell: 7.21

Geometry as extended XYZ:
```
5
Lattice="-2.196 2.658 3.270 -2.649 -4.065 1.525 3.410 -1.044 3.140" Properties=species:S:1:pos:R:3 pbc="T T T"
Sb 0.000 0.000 0.000
Si -1.324 -2.032 0.763
Fe 1.705 -0.522 1.570
Fe -1.098 1.329 1.635
Ga -0.717 -1.226 3.967
```



Record 17
A plane-wave DFT calculation with GGA-PBE was carried out for a relaxed TaGaFe2Sb crystal.

Summary:
E_tot in eV/atom: -5.76
Formation energy from raw total energies in eV/atom: 1.4278
Spin magnetization in μB/f.u.: 0.0
DOS at the Fermi energy in states/eV per cell: 8.03

Geometry as extended XYZ:
```
5
Lattice="-3.184 2.885 0.867 -3.511 -3.524 -1.164 -0.059 -1.321 4.179" Properties=species:S:1:pos:R:3 pbc="T T T"
Sb -1.755 -1.762 -0.582
Fe -0.030 -0.661 2.090
Fe -1.592 1.443 0.434
Ga 0.000 0.000 0.000
Ta -3.377 -0.980 1.941
```



Record 18
A plane-wave DFT calculation with GGA-PBE was carried out for a relaxed GaFeSbTe2 crystal.

Summary:
E_tot in eV/atom: -3.43
Formation energy from raw total energies in eV/atom: 0.9515
Relative energy among the computed polymorphs in meV per atom: 603
Spin magnetization in μB/f.u.: 3.4
DOS at the Fermi energy in states/eV per cell: 6.36

Geometry as extended XYZ:
```
5
Lattice="5.400 0.000 0.000 0.000 5.400 0.000 0.000 0.000 5.179" Properties=species:S:1:pos:R:3 pbc="T T T"
Sb 0.000 0.000 2.590
Te 0.000 2.700 0.000
Te 2.700 0.000 0.000
Fe 2.700 2.700 2.590
Ga 0.000 0.000 0.000
```



Record 19
A plane-wave DFT calculation with GGA-PBE was carried out for a relaxed GaFeSbTe2 crystal.

Summary:
E_tot in eV/atom: -4.03
Formation energy from raw total energies in eV/atom: 0.3487
Relative energy among the computed polymorphs in meV per atom: 0
Spin magnetization in μB/f.u.: 2.3
DOS at the Fermi energy in states/eV per cell: 5.20

Geometry as extended XYZ:
```
5
Lattice="-3.845 3.483 -0.944 -3.216 -3.109 1.625 0.573 1.951 4.866" Properties=species:S:1:pos:R:3 pbc="T T T"
Sb -1.608 -1.555 0.813
Te 0.286 0.976 2.433
Te -1.922 1.742 -0.472
Fe 0.000 0.000 0.000
Ga -3.244 1.163 2.773
```



Record 20
A plane-wave DFT calculation with GGA-PBE was carried out for a relaxed GaFeSbW2 crystal.

Summary:
E_tot in eV/atom: -6.80
Formation energy from raw total energies in eV/atom: 1.5033
Spin magnetization in μB/f.u.: 2.3
DOS at the Fermi energy in states/eV per cell: 6.54

Geometry as extended XYZ:
```
5
Lattice="4.643 0.000 0.000 0.000 4.343 0.000 0.000 0.000 4.643" Properties=species:S:1:pos:R:3 pbc="T T T"
Sb 2.321 2.171 2.321
Ga 0.000 0.000 0.000
W 0.000 0.000 2.321
W 2.321 0.000 0.000
Fe 0.000 2.171 0.000
```